U2PdPt8: relaxed, GGA-PBE.

abc: 4.161 4.161 11.558
angles: 90.00 90.00 90.00
Fractional positions:
Pt (0.500, 0.000, 0.500)
Pt (0.000, 0.500, 0.154)
Pt (0.000, 0.500, 0.500)
Pd (0.000, 0.000, 0.000)
Pt (0.000, 0.500, 0.846)
Pt (0.500, 0.500, 0.674)
Pt (0.500, 0.500, 0.326)
Pt (0.500, 0.000, 0.846)
Pt (0.500, 0.000, 0.154)
U (0.000, 0.000, 0.684)
U (0.000, 0.000, 0.316)

Computed properties:
The value obtained for the formation enthalpy at 0 K is -0.4257 eV/atom. As for the calculated total energy: -0.26987 Ha/atom.